Entry 1:
Material: CdSn2Br2
Method: DFT, PBE
State: optimized geometry

Cell lengths 7.5911, 7.5911, 5.5709 Å; angles 90.00, 90.00, 90.00 degrees
With the nearest neighbours (Å) after each atom.
Element x y z (fractional)
Sn  0.8591  0.6409  0.0000  2 Br 2.86, 2 Cd 2.93, 1 Sn 3.02
Sn  0.1409  0.3591  0.0000  2 Br 2.86, 2 Cd 2.93, 1 Sn 3.02
Sn  0.6409  0.1409  0.0000  2 Br 2.86, 2 Cd 2.93, 1 Sn 3.02
Sn  0.3591  0.8591  0.0000  2 Br 2.86, 2 Cd 2.93, 1 Sn 3.02
Br  0.2981  0.7981  0.5000  2 Sn 2.86
Br  0.7981  0.7019  0.5000  2 Sn 2.86
Br  0.7019  0.2019  0.5000  2 Sn 2.86
Br  0.2019  0.2981  0.5000  2 Sn 2.86
Cd  0.0000  0.0000  0.0000  4 Sn 2.93
Cd  0.5000  0.5000  0.0000  4 Sn 2.93

Computed properties:
Raw formation energy = -0.287 eV per atom
Crystal system = tetragonal

---

Entry 2:
Material: ScTaCo2
Method: DFT, PBE
State: optimized geometry

Cell lengths 4.3030, 2.9497, 4.6973 Å; angles 81.33, 90.00, 90.00 degrees
With the nearest neighbours (Å) after each atom.
Element x y z (fractional)
Ta  0.5000  0.7127  0.8529  7 Co 2.55-2.68
Co  0.0000  0.1669  0.9316  3 Sc 2.57-2.65, 4 Ta 2.59-2.68, 2 Co 2.79
Co  0.5000  0.0749  0.3137  3 Ta 2.55-2.65, 4 Sc 2.63-2.65, 2 Co 2.79
Sc  0.0000  0.5456  0.4018  7 Co 2.57-2.65

Computed properties:
Energy of formation from the pure elements = -0.2233 eV/atom
Crystal system = monoclinic

---

Entry 3:
Material: ScP3S
Method: DFT, PBE
State: optimized geometry

Cell lengths 4.9088, 4.9088, 4.9088 Å; angles 90.00, 90.00, 90.00 degrees
With the nearest neighbours (Å) after each atom.
Element x y z (fractional)
P  0.0000  0.5000  0.0000  2 Sc 2.45
P  0.0000  0.0000  0.5000  2 Sc 2.45
P  0.5000  0.0000  0.0000  2 Sc 2.45
S  0.5000  0.5000  0.5000  12 P 3.47
Sc  0.0000  0.0000  0.0000  6 P 2.45

Computed properties:
Raw formation energy = 0.874 eV per atom
Crystal system = cubic

---

Entry 4:
Material: SrHoAlAg
Method: DFT, PBE
State: optimized geometry

Cell lengths 5.3267, 5.3267, 5.3267 Å; angles 60.00, 60.00, 60.00 degrees
With the nearest neighbours (Å) after each atom.
Element x y z (fractional)
Ag  0.2500  0.2500  0.2500  4 Ho 3.26, 4 Sr 3.26
Al  0.7500  0.7500  0.7500  4 Ho 3.26, 4 Sr 3.26
Ho  0.0000  0.0000  0.0000  4 Al 3.26, 4 Ag 3.26
Sr  0.5000  0.5000  0.5000  4 Al 3.26, 4 Ag 3.26

Computed properties:
Energy of formation from the pure elements = -0.1809 eV/atom
Crystal system = cubic

---

| no. | uncorrected energy (eV/atom) |
| --- | --- |
| 1 | -2.74 |
| 2 | -8.32 |
| 3 | -4.46 |
| 4 | -3.39 |